1.
A relaxed Na3ZnPCO7 crystal. Source: Alexandria, functional PBEsol.

Calculated values
Theoretical density   3.19 g cm⁻³
Uncorrected formation energy   -1.94 eV/atom

```
data_Na3ZnPCO7
_chemical_formula_sum 'Na6 Zn2 P2 C2 O14'
_symmetry_space_group_name_H-M 'P 1 21/m 1'
_symmetry_Int_Tables_number 11
_cell_length_a 5.123
_cell_length_b 6.592
_cell_length_c 8.922
_cell_angle_alpha 90.00
_cell_angle_beta 90.08
_cell_angle_gamma 90.00
loop_
_symmetry_equiv_pos_as_xyz
'x,y,z'
'-x,-y,-z'
'-x,y+1/2,-z'
'x,-y+1/2,z'
loop_
_atom_site_label
_atom_site_fract_x
_atom_site_fract_y
_atom_site_fract_z
Na1 0.242 0.250 0.415
Na2 0.249 0.501 0.760
Zn1 0.225 0.750 0.137
P1 0.290 0.250 0.085
C1 0.258 0.750 0.434
O1 0.025 0.750 0.379
O2 0.155 0.250 0.930
O3 0.214 0.062 0.181
O4 0.297 0.750 0.578
O5 0.408 0.750 0.940
O6 0.457 0.750 0.343
```



2.
A relaxed SrZrOs2 crystal. Source: Alexandria, functional PBEsol.

Calculated values
Theoretical density   11.41 g cm⁻³
ΔE_f   42.29 kJ/mol of atoms

```
data_SrZrOs2
_chemical_formula_sum 'Sr2 Zr2 Os4'
_symmetry_space_group_name_H-M 'C 1 m 1'
_symmetry_Int_Tables_number 8
_cell_length_a 10.410
_cell_length_b 3.110
_cell_length_c 5.251
_cell_angle_alpha 90.00
_cell_angle_beta 106.71
_cell_angle_gamma 90.00
loop_
_symmetry_equiv_pos_as_xyz
'x,y,z'
'x,-y,z'
'x+1/2,y+1/2,z'
'x+1/2,-y+1/2,z'
loop_
_atom_site_label
_atom_site_fract_x
_atom_site_fract_y
_atom_site_fract_z
Sr1 0.000 0.000 0.000
Zr1 0.201 0.000 0.675
Os1 0.273 0.500 0.336
Os2 0.477 0.000 0.469
```



Number 1: relative energy among the computed polymorphs 0 kJ/mol of formula units. Number 2: relative energy among the computed polymorphs 22 kJ/mol of formula units.